(1)
Compound: EuEr3H
Source: Alexandria via LeMat-Bulk
Functional: PBE
Structure: relaxed

Output
E_tot (eV/atom): -5.5591

Lattice parameters (Å, degrees): 5.000 5.000 5.000 90.00 90.00 90.00
Element x y z (fractional)
Eu: 0.500 0.500 0.500
Er: 0.000 0.000 0.500
Er: 0.000 0.500 0.000
H: 0.000 0.000 0.000
Er: 0.500 0.000 0.000

***

(2)
Compound: Sm2DyScAs4
Source: Alexandria via LeMat-Bulk
Functional: PBE
Structure: relaxed

Output
E_tot (eV/atom): -6.3409
Formation energy from the elements (eV/atom): -1.470

Lattice parameters (Å, degrees): 4.118 7.122 7.114 109.50 90.00 90.00
Element x y z (fractional)
Dy: 0.500 0.500 0.000
Sm: 0.000 0.500 0.500
As: 0.000 0.753 0.239
Sm: 0.500 0.000 0.500
As: 0.000 0.247 0.761
Sc: 0.000 0.000 0.000
As: 0.500 0.761 0.765
As: 0.500 0.239 0.235

***

(3)
Compound: La6Co2SBr3
Source: Alexandria via LeMat-Bulk
Functional: PBE
Structure: relaxed

Output
E_tot (eV/atom): -5.5322
E_form (uncorrected) (eV per atom): -1.12

Lattice parameters (Å, degrees): 4.058 9.202 9.898 108.64 101.83 90.00
Element x y z (fractional)
Co: 0.834 0.673 0.668
La: 0.337 0.880 0.675
La: 0.680 0.542 0.360
Br: 0.500 0.500 0.000
Br: 0.161 0.832 0.322
La: 0.320 0.458 0.640
Co: 0.166 0.327 0.332
La: 0.016 0.232 0.031
La: 0.984 0.768 0.969
La: 0.663 0.120 0.325
Br: 0.839 0.168 0.678
S: 0.500 0.000 0.000